[1]
# LiSiAs2 (PBE, optimized geometry)
# Energy relative to the elements, uncorrected in eV per atom: -0.022
# ρ in Mg/m³: 4.07
# Magnetic moment in Bohr magnetons per cell: 0.00
data_LiSiAs2
_cell_length_a 10.707
_cell_length_b 3.509
_cell_length_c 4.214
_cell_angle_alpha 90.00
_cell_angle_beta 107.66
_cell_angle_gamma 90.00
_space_group_name_H-M_alt 'C 1 m 1'
_space_group_IT_number 8
_space_group_name_Hall 'C -2y'
loop_
_atom_site_label
_atom_site_fract_x
_atom_site_fract_y
_atom_site_fract_z
_atom_site_occupancy
Li1 0.000 0.000 0.000 1
Si1 0.243 0.000 0.848 1
As1 0.067 0.500 0.540 1
As2 0.285 0.500 0.439 1

***

[2]
# MgCdH2 (PBE, optimized geometry)
# Offset from the most stable computed form in meV per atom: 0.0
# ρ in Mg/m³: 4.28
# Magnetic moment in Bohr magnetons per cell: 0.00
data_MgCdH2
_cell_length_a 3.0295
_cell_length_b 3.0295
_cell_length_c 20.3044
_cell_angle_alpha 90.00
_cell_angle_beta 90.00
_cell_angle_gamma 120.00
_space_group_name_H-M_alt 'R -3 m'
_space_group_IT_number 166
_space_group_name_Hall '-R 3 2"'
loop_
_atom_site_label
_atom_site_fract_x
_atom_site_fract_y
_atom_site_fract_z
_atom_site_occupancy
Mg1 0.0000 0.0000 0.0000 1
Cd1 0.0000 0.0000 0.5000 1
H1 0.0000 0.0000 0.3781 1

***

[3]
# Tm6Tc2Pb (PBE, optimized geometry)
# E_form in eV per atom: -0.2300
# ρ in Mg/m³: 10.12
# Magnetic moment in Bohr magnetons per cell: 0.00
data_Tm6Tc2Pb
_cell_length_a 9.483
_cell_length_b 9.504
_cell_length_c 10.320
_cell_angle_alpha 90.00
_cell_angle_beta 90.00
_cell_angle_gamma 90.00
_space_group_name_H-M_alt 'I m m m'
_space_group_IT_number 71
_space_group_name_Hall '-I 2 2'
loop_
_atom_site_label
_atom_site_fract_x
_atom_site_fract_y
_atom_site_fract_z
_atom_site_occupancy
Tm1 0.000 0.220 0.239 1
Tm2 0.201 0.500 0.179 1
Tm3 0.216 0.310 0.500 1
Tc1 0.000 0.366 0.000 1
Tc2 0.000 0.500 0.383 1
Pb1 0.000 0.000 0.000 1
Pb2 0.000 0.000 0.500 1

***

[4]
# DyPaC (PBE, optimized geometry)
# E_form in eV per atom: -0.1998
# Offset from the most stable computed form in meV per atom: 0.0
# ρ in Mg/m³: 10.45
# Magnetic moment in Bohr magnetons per cell: 0.59
data_DyPaC
_cell_length_a 3.4863
_cell_length_b 3.4863
_cell_length_c 6.1220
_cell_angle_alpha 90.00
_cell_angle_beta 90.00
_cell_angle_gamma 120.00
_space_group_name_H-M_alt 'P 3 m 1'
_space_group_IT_number 156
_space_group_name_Hall 'P 3 -2"'
loop_
_atom_site_label
_atom_site_fract_x
_atom_site_fract_y
_atom_site_fract_z
_atom_site_occupancy
Dy1 0.0000 0.0000 0.0000 1
Pa1 0.6667 0.3333 0.4583 1
C1 0.3333 0.6667 0.2462 1